Entry 1:
VASP calculation (meta-GGA SCAN) on a crystal of BaZr2As relaxed with PBEsol.

Output
* M_tot: 0.0 μB/f.u.
* symmetry: I-4m2

abc: 4.502 4.502 5.605
angles: 113.68 113.68 90.00
Fractional coordinates of all 4 atoms:
As1 0.500 0.500 0.000
Ba1 0.250 0.750 0.500
Zr1 0.000 0.000 0.000
Zr2 0.750 0.250 0.500

Entry 2:
VASP calculation (meta-GGA SCAN) on a crystal of BaZr2As relaxed with PBEsol.

Output
* M_tot: 0.0 μB/f.u.
* symmetry: F-43m

abc: 5.146 5.146 5.146
angles: 60.00 60.00 60.00
Fractional coordinates of all 4 atoms:
As1 0.500 0.500 0.500
Ba1 0.250 0.250 0.250
Zr1 0.000 0.000 0.000
Zr2 0.750 0.750 0.750

Number 1: E_form 0.210 eV/atom. Number 2: E_form 0.299 eV/atom.